Density functional theory data (PBE) for an optimized crystal structure of Hf2ReB.

Output
Crystal system: trigonal
Energy relative to the elements (eV/atom): 0.379
Space-group type: R-3m (166)

abc: 3.1068 3.1068 8.3636
angles: 79.30 79.30 60.00
Atoms (fractional coordinates):
Hf 0.1058 0.1058 0.6826
Hf 0.8942 0.8942 0.3174
Re 0.0000 0.0000 0.0000
B 0.5000 0.5000 0.5000



Density functional theory data (PBE) for an optimized crystal structure of HfReB2.

Output
Crystal system: trigonal
Energy relative to the elements (eV/atom): -0.389
Space-group type: R-3m (166)

abc: 3.2110 3.2110 5.7068
angles: 73.66 73.66 60.00
Atoms (fractional coordinates):
B 0.7426 0.7426 0.7723
B 0.2574 0.2574 0.2277
Hf 0.5000 0.5000 0.5000
Re 0.0000 0.0000 0.0000



Density functional theory data (PBE) for an optimized crystal structure of HfReB2.

Output
Crystal system: cubic
Energy relative to the elements (eV/atom): 0.077
Space-group type: Fm-3m (225)

abc: 4.0392 4.0392 4.0392
angles: 60.00 60.00 60.00
Atoms (fractional coordinates):
Hf 0.0000 0.0000 0.0000
Re 0.5000 0.5000 0.5000
B 0.7500 0.7500 0.7500
B 0.2500 0.2500 0.2500



Density functional theory data (PBE) for an optimized crystal structure of HfRe2B2.

Output
Crystal system: tetragonal
Energy relative to the elements (eV/atom): -0.243
Space-group type: P4/mbm (127)

abc: 6.3863 6.3863 2.9917
angles: 90.00 90.00 90.00
Atoms (fractional coordinates):
B 0.8718 0.6282 0.0000
B 0.1282 0.3718 0.0000
B 0.3718 0.8718 0.0000
B 0.6282 0.1282 0.0000
Re 0.6512 0.8488 0.5000
Re 0.3488 0.1512 0.5000
Re 0.1512 0.6512 0.5000
Re 0.8488 0.3488 0.5000
Hf 0.5000 0.5000 0.0000
Hf 0.0000 0.0000 0.0000



Density functional theory data (PBE) for an optimized crystal structure of HfReB.

Output
Crystal system: monoclinic
Energy relative to the elements (eV/atom): -0.614
Space-group type: C2/m (12)

abc: 3.2362 5.1451 5.4927
angles: 75.33 72.87 71.67
Atoms (fractional coordinates):
B 0.8865 0.0676 0.1594
B 0.1135 0.9324 0.8406
Hf 0.5782 0.6718 0.1717
Hf 0.4218 0.3282 0.8283
Re 0.1909 0.2114 0.4068
Re 0.8091 0.7886 0.5932



Density functional theory data (PBE) for an optimized crystal structure of Hf9Re4B.

Output
Crystal system: hexagonal
Energy relative to the elements (eV/atom): -0.343
Space-group type: P6_3/mmc (194)

abc: 8.4519 8.4519 8.5587
angles: 90.00 90.00 120.00
Atoms (fractional coordinates):
Hf 0.2008 0.4016 0.0559
Hf 0.5984 0.7992 0.0559
Hf 0.2008 0.7992 0.0559
Hf 0.7992 0.5984 0.5559
Hf 0.4592 0.5408 0.7500
Hf 0.0815 0.5408 0.7500
Hf 0.2008 0.4016 0.4441
Hf 0.5408 0.4592 0.2500
Hf 0.7992 0.2008 0.9441
Hf 0.7992 0.2008 0.5559
Hf 0.4016 0.2008 0.5559
Hf 0.4016 0.2008 0.9441
Hf 0.2008 0.7992 0.4441
Hf 0.4592 0.9185 0.7500
Hf 0.7992 0.5984 0.9441
Hf 0.5408 0.0815 0.2500
Hf 0.9185 0.4592 0.2500
Hf 0.5984 0.7992 0.4441
Re 0.2213 0.1107 0.2500
Re 0.7787 0.8893 0.7500
Re 0.8893 0.7787 0.2500
Re 0.8893 0.1107 0.2500
Re 0.1107 0.8893 0.7500
Re 0.0000 0.0000 0.0000
Re 0.1107 0.2213 0.7500
Re 0.0000 0.0000 0.5000
B 0.3333 0.6667 0.2500
B 0.6667 0.3333 0.7500



Density functional theory data (PBE) for an optimized crystal structure of HfReBSe2.

Output
Crystal system: tetragonal
Uncorrected formation energy (eV/atom): 0.493
Space-group type: P4/mmm (123)

abc: 4.5259 4.0296 4.5259
angles: 90.00 90.00 90.00
Atoms (fractional coordinates):
Hf 0.5000 0.5000 0.5000
Se 0.5000 0.0000 0.0000
Se 0.0000 0.0000 0.5000
Re 0.0000 0.5000 0.0000
B 0.0000 0.0000 0.0000



Density functional theory data (PBE) for an optimized crystal structure of HfReSiB2.

Output
Crystal system: tetragonal
Uncorrected formation energy (eV/atom): 0.970
Space-group type: P4/mmm (123)

abc: 4.0836 5.2727 4.0836
angles: 90.00 90.00 90.00
Atoms (fractional coordinates):
Si 0.5000 0.5000 0.5000
B 0.5000 0.0000 0.0000
B 0.0000 0.0000 0.5000
Hf 0.0000 0.5000 0.0000
Re 0.0000 0.0000 0.0000



Density functional theory data (PBE) for an optimized crystal structure of HfBRh4.

Output
Crystal system: monoclinic
Energy relative to the elements (eV/atom): -0.190
Space-group type: C2/m (12)

abc: 3.7921 3.7962 6.4410
angles: 89.90 89.95 90.00
Atoms (fractional coordinates):
B 0.0013 0.9973 0.4981
Rh 0.5016 0.9979 0.7017
Rh 0.5011 0.9966 0.2946
Rh 0.0017 0.4977 0.7016
Rh 0.0010 0.4968 0.2947
Hf 0.5013 0.4973 0.9981



Density functional theory data (PBE) for an optimized crystal structure of Hf2B2Rh.

Output
Crystal system: tetragonal
Energy relative to the elements (eV/atom): -0.867
Space-group type: P4/mbm (127)

abc: 6.0276 6.0276 3.5661
angles: 90.00 90.00 90.00
Atoms (fractional coordinates):
Hf 0.3216 0.1784 0.5000
Hf 0.8216 0.3216 0.5000
Hf 0.1784 0.6784 0.5000
Hf 0.6784 0.8216 0.5000
Rh 0.5000 0.5000 0.0000
Rh 0.0000 0.0000 0.0000
B 0.1092 0.3908 0.0000
B 0.6092 0.1092 0.0000
B 0.3908 0.8908 0.0000
B 0.8908 0.6092 0.0000



Density functional theory data (PBE) for an optimized crystal structure of Hf2BRh8.

Output
Crystal system: orthorhombic
Energy relative to the elements (eV/atom): -0.477
Space-group type: Immm (71)

abc: 4.4952 5.5840 7.3866
angles: 112.21 107.72 90.00
Atoms (fractional coordinates):
Rh 0.0000 0.7491 0.0001
Rh 0.3793 0.6250 0.7586
Rh 0.3793 0.1334 0.7585
Rh 0.0000 0.2509 0.9999
Rh 0.6207 0.3750 0.2414
Rh 0.6207 0.8666 0.2415
Rh 0.1787 0.1788 0.3574
Rh 0.8213 0.8212 0.6426
B 0.5000 0.0000 0.0000
Hf 0.1947 0.6947 0.3893
Hf 0.8053 0.3053 0.6107



Density functional theory data (PBE) for an optimized crystal structure of HfB2Rh4.

Output
Crystal system: monoclinic
Energy relative to the elements (eV/atom): -0.512
Space-group type: Cm (8)

abc: 5.4625 4.8409 7.7783
angles: 107.93 110.55 90.01
Atoms (fractional coordinates):
Rh 0.4970 0.7258 0.8513
Rh 0.8717 0.5427 0.1292
Rh 0.4007 0.5426 0.1294
Rh 0.5134 0.1651 0.3582
Rh 0.9874 0.1651 0.3583
Rh 0.6914 0.1675 0.7419
Rh 0.8947 0.6201 0.6467
Rh 0.1934 0.1676 0.7420
B 0.6068 0.1569 0.0703
B 0.0267 0.4856 0.9101
B 0.3643 0.3382 0.5856
B 0.8167 0.9226 0.4905
Hf 0.2982 0.7343 0.4538
Hf 0.0877 0.0161 0.0326



In eV/atom, the total DFT energy (no corrections) values for the records above are, in order, -9.38 -9.33 -8.86 -9.88 -10.31 -10.78 -6.72 -7.27 -7.86 -8.99 -8.24 -8.04.
In Å³/cell, the volume values for the records above are, in order, 68.3 48.2 46.6 122.0 81.6 529.5 82.5 87.9 92.7 129.6 162.1 181.9.